(1)
# AcYTl2Ag2 | the Alexandria database | PBE | optimized geometry
# - Formation enthalpy at 0 K: -0.2988 eV/atom
# - D(E_F): 5.95 states/eV/f.u.
data_AcYTl2Ag2
_chemical_formula_sum 'Ac1 Y1 Tl2 Ag2'
_space_group_name_H-M_alt 'P -3 m 1'
_space_group_IT_number 164
_space_group_name_Hall '-P 3 2"'
_cell_length_a 4.9525
_cell_length_b 4.9525
_cell_length_c 7.6475
_cell_angle_alpha 90.00
_cell_angle_beta 90.00
_cell_angle_gamma 120.00
loop_
_atom_site_label
_atom_site_fract_x
_atom_site_fract_y
_atom_site_fract_z
Ac1 0.0000 0.0000 0.0000
Y1 0.0000 0.0000 0.5000
Tl1 0.3333 0.6667 0.2776
Ag1 0.3333 0.6667 0.7060

***

(2)
# Pm2Ge6IrPd | the Alexandria database | PBE | optimized geometry
# - Formation enthalpy at 0 K: -0.3501 eV/atom
# - D(E_F): 5.96 states/eV/f.u.
data_Pm2Ge6IrPd
_chemical_formula_sum 'Pm12 Ge36 Ir6 Pd6'
_space_group_name_H-M_alt 'R -3 m'
_space_group_IT_number 166
_space_group_name_Hall '-R 3 2"'
_cell_length_a 6.1285
_cell_length_b 6.1285
_cell_length_c 40.1600
_cell_angle_alpha 90.00
_cell_angle_beta 90.00
_cell_angle_gamma 120.00
loop_
_atom_site_label
_atom_site_fract_x
_atom_site_fract_y
_atom_site_fract_z
Pm1 0.0000 0.0000 0.1272
Pm2 0.0000 0.0000 0.2773
Ge1 0.0440 0.5220 0.7193
Ge2 0.0576 0.5288 0.8718
Ir1 0.0000 0.0000 0.4264
Pd1 0.0000 0.0000 0.0000
Pd2 0.0000 0.0000 0.5000